Entry from Alexandria: an optimized crystal structure of Cs2AcCrS4 (PBE).

Structure (CIF):
```
data_Cs2AcCrS4
_chemical_formula_sum 'Cs4 Ac2 Cr2 S8'
_cell_length_a 7.751
_cell_length_b 7.751
_cell_length_c 9.446
_cell_angle_alpha 90.00
_cell_angle_beta 90.00
_cell_angle_gamma 90.00
_symmetry_space_group_name_H-M 'I -4'
_symmetry_Int_Tables_number 82
loop_
_symmetry_equiv_pos_as_xyz
'x,y,z'
'y,-x,-z'
'-x,-y,z'
'-y,x,-z'
'x+1/2,y+1/2,z+1/2'
'y+1/2,-x+1/2,-z+1/2'
'-x+1/2,-y+1/2,z+1/2'
'-y+1/2,x+1/2,-z+1/2'
loop_
_atom_site_label
_atom_site_fract_x
_atom_site_fract_y
_atom_site_fract_z
Cs1 0.000 0.000 0.000
Cs2 0.000 0.500 0.250
Ac1 0.000 0.500 0.750
Cr1 0.000 0.000 0.500
S1 0.155 0.779 0.601
```

Results
Total energy   -5.16 eV per atom
Total magnetic moment   0.38 μB/atom